Sc3AlRh2 (PBE, optimized geometry); electronic total energy = -7.069 eV/atom; volume = 106 Å³/f.u.; calculated formation energy = -0.829 eV per atom
1.0
3.281 0.000 0.000
0.000 3.281 0.000
0.000 0.000 9.881
Sc Al Rh
3 1 2
Direct
0.000 0.000 0.000
0.000 0.000 0.319
0.000 0.000 0.681
0.500 0.500 0.500
0.500 0.500 0.164
0.500 0.500 0.836